An optimized crystal structure of Cs2PHBr6, computed with PBE.

For the theoretical density, the calculation gives 4.18 g cm⁻³. The calculation puts the total magnetization at 0.0 Bohr magnetons per cell. The space group is No. 139. The total DFT energy (no corrections) comes out at -0.0996 Ha/atom.

Structure (CIF):
```
data_Cs2PHBr6
_space_group_name_H-M_alt 'P 1'
_space_group_IT_number 1
_cell_length_a 7.147
_cell_length_b 7.147
_cell_length_c 7.876
_cell_angle_alpha 63.02
_cell_angle_beta 63.02
_cell_angle_gamma 90.00
loop_
_space_group_symop_operation_xyz
'x,y,z'
loop_
_atom_site_label
_atom_site_type_symbol
_atom_site_fract_x
_atom_site_fract_y
_atom_site_fract_z
_atom_site_occupancy
Cs1 Cs 0.250 0.750 0.500 1
Cs2 Cs 0.750 0.250 0.500 1
Br1 Br 0.254 0.254 0.000 1
Br2 Br 0.254 0.746 0.000 1
Br3 Br 0.790 0.790 0.420 1
Br4 Br 0.746 0.254 0.000 1
Br5 Br 0.746 0.746 0.000 1
Br6 Br 0.210 0.210 0.580 1
H1 H 0.500 0.500 0.000 1
P1 P 0.000 0.000 0.000 1
```

***

An optimized crystal structure of Zr2TeIr, computed with PBE.

For the theoretical density, the calculation gives 10.34 g cm⁻³. The calculation puts the total magnetization at 0.0 Bohr magnetons per cell. The uncorrected formation energy comes out at -0.525 eV per atom. The space group is No. 12.

Structure (CIF):
```
data_Zr2TeIr
_space_group_name_H-M_alt 'P 1'
_space_group_IT_number 1
_cell_length_a 4.885
_cell_length_b 4.885
_cell_length_c 3.487
_cell_angle_alpha 89.30
_cell_angle_beta 89.30
_cell_angle_gamma 104.25
loop_
_space_group_symop_operation_xyz
'x,y,z'
loop_
_atom_site_label
_atom_site_type_symbol
_atom_site_fract_x
_atom_site_fract_y
_atom_site_fract_z
_atom_site_occupancy
Ir1 Ir 0.500 0.000 0.500 1
Zr1 Zr 0.000 0.000 0.000 1
Zr2 Zr 0.500 0.500 0.000 1
Te1 Te 0.000 0.500 0.500 1
```

***

An optimized crystal structure of AlBN2F, computed with PBE.

For the theoretical density, the calculation gives 2.75 g cm⁻³. The calculation puts the total magnetization at 0.4 Bohr magnetons per cell. The uncorrected formation energy comes out at 0.763 eV per atom. The space group is No. 123. The distance to the lowest polymorph of the same formula comes out at 0.580 eV/atom.

Structure (CIF):
```
data_AlBN2F
_space_group_name_H-M_alt 'P 1'
_space_group_IT_number 1
_cell_length_a 3.830
_cell_length_b 3.830
_cell_length_c 3.491
_cell_angle_alpha 90.00
_cell_angle_beta 90.00
_cell_angle_gamma 90.00
loop_
_space_group_symop_operation_xyz
'x,y,z'
loop_
_atom_site_label
_atom_site_type_symbol
_atom_site_fract_x
_atom_site_fract_y
_atom_site_fract_z
_atom_site_occupancy
F1 F 0.000 0.000 0.500 1
N1 N 0.500 0.000 0.000 1
N2 N 0.000 0.500 0.000 1
B1 B 0.500 0.500 0.500 1
Al1 Al 0.000 0.000 0.000 1
```

***

An optimized crystal structure of Zn2I3Br, computed with PBE.

For the theoretical density, the calculation gives 4.62 g cm⁻³. The calculation puts the total magnetization at 0.0 Bohr magnetons per cell. The uncorrected formation energy comes out at -0.537 eV per atom. The space group is No. 2.

Structure (CIF):
```
data_Zn2I3Br
_space_group_name_H-M_alt 'P 1'
_space_group_IT_number 1
_cell_length_a 15.749
_cell_length_b 8.033
_cell_length_c 8.923
_cell_angle_alpha 63.72
_cell_angle_beta 26.83
_cell_angle_gamma 75.70
loop_
_space_group_symop_operation_xyz
'x,y,z'
loop_
_atom_site_label
_atom_site_type_symbol
_atom_site_fract_x
_atom_site_fract_y
_atom_site_fract_z
_atom_site_occupancy
Zn1 Zn 0.500 0.500 0.000 1
Zn2 Zn 0.000 0.500 0.000 1
Zn3 Zn 0.000 0.000 0.000 1
Zn4 Zn 0.500 0.000 0.000 1
I1 I 0.254 0.733 0.275 1
I2 I 0.754 0.234 0.274 1
I3 I 0.245 0.266 0.727 1
I4 I 0.746 0.267 0.725 1
I5 I 0.246 0.766 0.726 1
I6 I 0.755 0.734 0.273 1
Br1 Br 0.735 0.775 0.718 1
Br2 Br 0.265 0.225 0.282 1
```

***

An optimized crystal structure of KSrY, computed with PBE.

For the theoretical density, the calculation gives 2.47 g cm⁻³. The calculation puts the total magnetization at 0.8 Bohr magnetons per cell. The space group is No. 107. For the energy of formation from the pure elements, the calculation gives 328 meV per atom. The distance to the lowest polymorph of the same formula comes out at 0.024 eV/atom.

Structure (CIF):
```
data_KSrY
_space_group_name_H-M_alt 'P 1'
_space_group_IT_number 1
_cell_length_a 10.010
_cell_length_b 10.010
_cell_length_c 10.010
_cell_angle_alpha 157.67
_cell_angle_beta 157.67
_cell_angle_gamma 31.79
loop_
_space_group_symop_operation_xyz
'x,y,z'
loop_
_atom_site_label
_atom_site_type_symbol
_atom_site_fract_x
_atom_site_fract_y
_atom_site_fract_z
_atom_site_occupancy
Sr1 Sr 0.316 0.316 0.000 1
Y1 Y 0.676 0.676 0.000 1
K1 K 0.009 0.009 0.000 1
```

***

An optimized crystal structure of Zn3TeAu, computed with PBE.

For the theoretical density, the calculation gives 7.13 g cm⁻³. The calculation puts the total magnetization at 0.0 Bohr magnetons per cell. The uncorrected formation energy comes out at 0.136 eV per atom. The space group is No. 221. The distance to the lowest polymorph of the same formula comes out at 0.000 eV/atom.

Structure (CIF):
```
data_Zn3TeAu
_space_group_name_H-M_alt 'P 1'
_space_group_IT_number 1
_cell_length_a 4.949
_cell_length_b 4.949
_cell_length_c 4.949
_cell_angle_alpha 90.00
_cell_angle_beta 90.00
_cell_angle_gamma 90.00
loop_
_space_group_symop_operation_xyz
'x,y,z'
loop_
_atom_site_label
_atom_site_type_symbol
_atom_site_fract_x
_atom_site_fract_y
_atom_site_fract_z
_atom_site_occupancy
Zn1 Zn 0.500 0.000 0.000 1
Zn2 Zn 0.000 0.500 0.000 1
Zn3 Zn 0.000 0.000 0.500 1
Te1 Te 0.500 0.500 0.500 1
Au1 Au 0.000 0.000 0.000 1
```

***

An optimized crystal structure of K2TaMn, computed with PBE.

For the theoretical density, the calculation gives 2.88 g cm⁻³. The calculation puts the total magnetization at 0.8 Bohr magnetons per cell. The space group is No. 122. For the energy of formation from the pure elements, the calculation gives 1441 meV per atom. The distance to the lowest polymorph of the same formula comes out at 0.706 eV/atom.

Structure (CIF):
```
data_K2TaMn
_space_group_name_H-M_alt 'P 1'
_space_group_IT_number 1
_cell_length_a 12.696
_cell_length_b 12.696
_cell_length_c 9.255
_cell_angle_alpha 46.69
_cell_angle_beta 46.69
_cell_angle_gamma 90.00
loop_
_space_group_symop_operation_xyz
'x,y,z'
loop_
_atom_site_label
_atom_site_type_symbol
_atom_site_fract_x
_atom_site_fract_y
_atom_site_fract_z
_atom_site_occupancy
K1 K 0.875 0.711 0.750 1
K2 K 0.289 0.625 0.250 1
K3 K 0.461 0.125 0.250 1
K4 K 0.375 0.539 0.750 1
Mn1 Mn 0.250 0.750 0.500 1
Mn2 Mn 0.500 0.500 0.000 1
Ta1 Ta 0.750 0.250 0.500 1
Ta2 Ta 0.000 0.000 0.000 1
```

***

An optimized crystal structure of BaNaInAg2, computed with PBE.

For the theoretical density, the calculation gives 5.70 g cm⁻³. The calculation puts the total magnetization at 0.0 Bohr magnetons per cell. The space group is No. 119. For the energy of formation from the pure elements, the calculation gives -216 meV per atom.

Structure (CIF):
```
data_BaNaInAg2
_space_group_name_H-M_alt 'P 1'
_space_group_IT_number 1
_cell_length_a 4.729
_cell_length_b 4.729
_cell_length_c 7.211
_cell_angle_alpha 109.14
_cell_angle_beta 109.14
_cell_angle_gamma 90.00
loop_
_space_group_symop_operation_xyz
'x,y,z'
loop_
_atom_site_label
_atom_site_type_symbol
_atom_site_fract_x
_atom_site_fract_y
_atom_site_fract_z
_atom_site_occupancy
Ba1 Ba 0.000 0.000 0.000 1
Na1 Na 0.250 0.750 0.500 1
Ag1 Ag 0.390 0.390 0.780 1
Ag2 Ag 0.610 0.610 0.220 1
In1 In 0.750 0.250 0.500 1
```

***

An optimized crystal structure of AcCd2MoN4, computed with PBE.

For the theoretical density, the calculation gives 7.06 g cm⁻³. The calculation puts the total magnetization at 0.0 Bohr magnetons per cell. The uncorrected formation energy comes out at -0.275 eV per atom. The space group is No. 121.

Structure (CIF):
```
data_AcCd2MoN4
_space_group_name_H-M_alt 'P 1'
_space_group_IT_number 1
_cell_length_a 5.374
_cell_length_b 5.374
_cell_length_c 6.212
_cell_angle_alpha 115.62
_cell_angle_beta 115.62
_cell_angle_gamma 90.01
loop_
_space_group_symop_operation_xyz
'x,y,z'
loop_
_atom_site_label
_atom_site_type_symbol
_atom_site_fract_x
_atom_site_fract_y
_atom_site_fract_z
_atom_site_occupancy
Ac1 Ac 0.000 0.000 0.000 1
N1 N 0.184 0.184 0.774 1
N2 N 0.410 0.816 0.226 1
N3 N 0.816 0.410 0.226 1
N4 N 0.590 0.590 0.774 1
Cd1 Cd 0.750 0.250 0.500 1
Cd2 Cd 0.250 0.750 0.500 1
Mo1 Mo 0.500 0.500 0.000 1
```